# 1
Crystalline CeNpIr2 at its relaxed geometry, computed with PBE.

Its energy above the lowest structure with this stoichiometry is 0.000 eV per atom. The calculation puts the calculated volume at 22.612 Å³ per atom. Its formation enthalpy at 0 K is -0.45 eV/atom.

The structure belongs to space group R-3m (No. 166, hexagonal axes); the cell edges are 4.0436, 4.0436 and 19.1627 Å and the angles 90.00°, 90.00° and 120.00°. The distinct sites, in fractional coordinates, are Ce at (0.0000, 0.0000, 0.0000), Np at (0.0000, 0.0000, 0.5000) and Ir at (0.0000, 0.0000, 0.2439).


# 2
Crystalline In8Hg6Bi at its relaxed geometry, computed with PBE.

The calculation puts the calculated volume at 28.050 Å³ per atom. Its formation enthalpy at 0 K is 0.04 eV/atom.

The structure belongs to space group P-3 (No. 147); the cell edges are 9.7243, 9.7243 and 5.1378 Å and the angles 90.00°, 90.00° and 120.00°. The distinct sites, in fractional coordinates, are In at (0.0025, 0.7236, 0.3219), In at (0.3333, 0.6667, 0.3129), Hg at (0.1155, 0.6419, 0.8189) and Bi at (0.0000, 0.0000, 0.0000).